No. 1
The following is a DFT calculation (GGA-PBE) of a relaxed K2ScCuF6 crystal.

Energy above the lowest structure with this stoichiometry = 0.007 eV/atom
Uncorrected formation energy = -2901 meV/atom
Calculated density = 3.2 g cm⁻³

Cell and atoms, written as CIF:
```
data_K2ScCuF6
_cell_length_a 6.0296
_cell_length_b 6.0296
_cell_length_c 6.0296
_cell_angle_alpha 60.00
_cell_angle_beta 60.00
_cell_angle_gamma 60.00
_symmetry_space_group_name_H-M 'P 1'
_symmetry_Int_Tables_number 1
loop_
_symmetry_equiv_pos_as_xyz
'x,y,z'
loop_
_atom_site_label
_atom_site_type_symbol
_atom_site_fract_x
_atom_site_fract_y
_atom_site_fract_z
_atom_site_occupancy
K1 K 0.2500 0.2500 0.2500 1
K2 K 0.7500 0.7500 0.7500 1
Sc1 Sc 0.0000 0.0000 0.0000 1
Cu1 Cu 0.5000 0.5000 0.5000 1
F1 F 0.2382 0.2382 0.7618 1
F2 F 0.2382 0.7618 0.2382 1
F3 F 0.2382 0.7618 0.7618 1
F4 F 0.7618 0.2382 0.2382 1
F5 F 0.7618 0.2382 0.7618 1
F6 F 0.7618 0.7618 0.2382 1
```

=====

No. 2
The following is a DFT calculation (GGA-PBE) of a relaxed KScCuF6 crystal.

Uncorrected formation energy = -2908 meV/atom
Calculated density = 2.9 g cm⁻³

Cell and atoms, written as CIF:
```
data_KScCuF6
_cell_length_a 5.4441
_cell_length_b 5.4441
_cell_length_c 5.6668
_cell_angle_alpha 91.23
_cell_angle_beta 91.23
_cell_angle_gamma 116.80
_symmetry_space_group_name_H-M 'P 1'
_symmetry_Int_Tables_number 1
loop_
_symmetry_equiv_pos_as_xyz
'x,y,z'
loop_
_atom_site_label
_atom_site_type_symbol
_atom_site_fract_x
_atom_site_fract_y
_atom_site_fract_z
_atom_site_occupancy
K1 K 0.0000 0.0000 0.0000 1
Sc1 Sc 0.3379 0.6621 0.5000 1
Cu1 Cu 0.6773 0.3227 0.5000 1
F1 F 0.0090 0.3630 0.6728 1
F2 F 0.0467 0.6311 0.2727 1
F3 F 0.3689 0.9533 0.7273 1
F4 F 0.3954 0.3579 0.3086 1
F5 F 0.6370 0.9910 0.3272 1
F6 F 0.6421 0.6046 0.6914 1
```

=====

No. 3
The following is a DFT calculation (GGA-PBE) of a relaxed KCuSi2F crystal.

Uncorrected formation energy = 1730 meV/atom
Calculated density = 1.6 g cm⁻³

Cell and atoms, written as CIF:
```
data_KCuSi2F
_cell_length_a 5.9898
_cell_length_b 5.9898
_cell_length_c 5.2446
_cell_angle_alpha 90.00
_cell_angle_beta 90.00
_cell_angle_gamma 90.00
_symmetry_space_group_name_H-M 'P 1'
_symmetry_Int_Tables_number 1
loop_
_symmetry_equiv_pos_as_xyz
'x,y,z'
loop_
_atom_site_label
_atom_site_type_symbol
_atom_site_fract_x
_atom_site_fract_y
_atom_site_fract_z
_atom_site_occupancy
K1 K 0.0000 0.0000 0.0000 1
Cu1 Cu 0.0000 0.0000 0.5000 1
Si1 Si 0.0000 0.5000 0.0000 1
Si2 Si 0.5000 0.0000 0.0000 1
F1 F 0.5000 0.5000 0.5000 1
```